# 1
A plane-wave DFT calculation with PBE-GGA was carried out for a geometry-optimized Sb2MoPb structure.

Geometry as POSCAR:
```
Sb2MoPb
1.0
-2.1981 -2.5124 -0.6583
2.6059 -2.1016 -0.6803
2.8097 -4.3387 7.1777
Sb Pb Mo
2 1 1
Direct
0.0000 0.5582 0.4437
0.0000 0.9418 0.0563
0.5000 0.7500 0.7500
0.5000 0.2500 0.2500
```

Values from the calculation:
V	95.00	Å³/f.u.
density of states at the Fermi level	3.5	states/eV per cell
formation energy from raw total energies	10.62	kJ/mol of atoms
space-group type	P2/m

---

# 2
A plane-wave DFT calculation with PBE-GGA was carried out for a geometry-optimized Ac3LaPr4S8 structure.

Geometry as POSCAR:
```
Ac3LaPr4S8
1.0
8.3799 0.0000 0.0000
0.0000 8.3749 -0.0098
-4.1899 -4.1859 5.9279
S La Pr Ac
8 1 4 3
Direct
0.7539 0.7617 0.5078
0.2505 0.7581 0.5010
0.2461 0.2383 0.4922
0.7495 0.2419 0.4990
0.7571 0.7581 0.0076
0.2505 0.7581 0.0076
0.2429 0.2419 0.9924
0.7495 0.2419 0.9924
0.0000 0.5000 0.0000
0.5000 0.0000 0.0000
0.5000 0.0000 0.5000
0.0000 0.0000 0.5000
0.0000 0.0000 0.0000
0.0000 0.5000 0.5000
0.5000 0.5000 0.0000
0.5000 0.5000 0.5000
```

Values from the calculation:
V	415.68	Å³/f.u.
density of states at the Fermi level	7.8	states/eV per cell
formation energy from raw total energies	-195.86	kJ/mol of atoms
space-group type	R-3m

---

# 3
A plane-wave DFT calculation with PBE-GGA was carried out for a geometry-optimized SrMn4Rh structure.

Geometry as POSCAR:
```
SrMn4Rh
1.0
3.7237 -0.6919 3.4127
-0.9516 0.6141 4.9708
-0.0995 -4.0495 3.0957
Mn Rh Sr
4 1 1
Direct
0.8668 0.3777 0.3777
0.3777 0.3777 0.8668
0.3777 0.8668 0.3777
0.3777 0.3777 0.3777
0.7500 0.7500 0.7500
0.0000 0.0000 0.0000
```

Values from the calculation:
V	93.70	Å³/f.u.
density of states at the Fermi level	10.5	states/eV per cell
ΔE_f	3.54	eV/f.u.
space-group type	F-43m

---

# 4
A plane-wave DFT calculation with PBE-GGA was carried out for a geometry-optimized Ac2ZnNi12P3 structure.

Geometry as POSCAR:
```
Ac2ZnNi12P3
1.0
-0.4207 1.7048 -7.0045
4.5248 -3.6554 -4.2791
-3.1415 -5.0074 -4.1477
Ni P Zn Ac
12 3 1 2
Direct
0.8818 0.3656 0.8818
0.0957 0.6682 0.6682
0.3318 0.3318 0.9043
0.9043 0.3318 0.3318
0.8818 0.8818 0.3656
0.6344 0.1182 0.1182
0.3656 0.8818 0.8818
0.3318 0.9043 0.3318
0.1182 0.6344 0.1182
0.1182 0.1182 0.6344
0.6682 0.6682 0.0957
0.6682 0.0957 0.6682
0.5000 0.0000 0.0000
0.0000 0.0000 0.5000
0.0000 0.5000 0.0000
0.0000 0.0000 0.0000
0.3829 0.3829 0.3829
0.6171 0.6171 0.6171
```

Values from the calculation:
V	296.69	Å³/f.u.
density of states at the Fermi level	9.6	states/eV per cell
ΔE_f	-1.61	eV/f.u.
space-group type	R-3m

---

# 5
A plane-wave DFT calculation with PBE-GGA was carried out for a geometry-optimized Li2BiI4 structure.

Geometry as POSCAR:
```
Li2BiI4
1.0
-0.2284 7.1570 2.2078
-6.3070 -1.3752 3.8053
5.7704 -3.9703 0.7515
I Bi Li
4 1 2
Direct
0.6497 0.6497 0.7526
0.3503 0.8971 0.2474
0.1029 0.1029 0.7526
0.8971 0.3503 0.2474
0.5000 0.5000 0.0000
0.2500 0.7500 0.5000
0.7500 0.2500 0.5000
```

Values from the calculation:
V	260.66	Å³/f.u.
density of states at the Fermi level	0.6	states/eV per cell
formation energy from raw total energies	-64.80	kJ/mol of atoms
space-group type	I-42m

---

# 6
A plane-wave DFT calculation with PBE-GGA was carried out for a geometry-optimized Sr2ZrTe structure.

Geometry as POSCAR:
```
Sr2ZrTe
1.0
-0.8495 0.0928 -4.8689
1.0279 -4.2061 -0.2595
-5.7019 -3.6809 0.9247
Sr Te Zr
2 1 1
Direct
0.0000 0.9713 0.9330
0.5000 0.2771 0.3202
0.0000 0.6871 0.5005
0.5000 0.5645 0.7463
```

Values from the calculation:
V	139.36	Å³/f.u.
density of states at the Fermi level	4.0	states/eV per cell
formation energy from raw total energies	-27.31	kJ/mol of atoms
space-group type	Amm2

---

# 7
A plane-wave DFT calculation with PBE-GGA was carried out for a geometry-optimized TaBiAs2Pt structure.

Geometry as POSCAR:
```
TaBiAs2Pt
1.0
5.2358 0.0000 0.0000
0.0000 5.2911 0.0000
0.0000 0.0000 5.2358
Pt Ta As Bi
1 1 2 1
Direct
0.5000 0.5000 0.5000
0.0000 0.5000 0.0000
0.5000 0.0000 0.0000
0.0000 0.0000 0.5000
0.0000 0.0000 0.0000
```

Values from the calculation:
V	145.05	Å³/f.u.
density of states at the Fermi level	5.2	states/eV per cell
ΔE_f	10.18	eV/f.u.
space-group type	P4/mmm

---

# 8
A plane-wave DFT calculation with PBE-GGA was carried out for a geometry-optimized Zn5Pt6Au structure.

Geometry as POSCAR:
```
Zn5Pt6Au
1.0
-1.7573 2.0303 3.1167
-4.6947 3.0194 -4.6140
-0.5872 -7.1426 1.6067
Pt Au Zn
6 1 5
Direct
0.8299 0.0945 0.6597
0.1701 0.9055 0.3403
0.8299 0.5652 0.6597
0.5000 0.7286 0.0000
0.1701 0.4348 0.3403
0.5000 0.2714 0.0000
0.0000 0.0000 0.0000
0.3419 0.8419 0.6837
0.3264 0.3264 0.6529
0.0000 0.5000 0.0000
0.6736 0.6736 0.3471
0.6581 0.1581 0.3163
```

Values from the calculation:
V	180.24	Å³/f.u.
density of states at the Fermi level	3.3	states/eV per cell
ΔE_f	-5.72	eV/f.u.
space-group type	Immm

---

# 9
A plane-wave DFT calculation with PBE-GGA was carried out for a geometry-optimized SrTi2Bi2 structure.

Geometry as POSCAR:
```
SrTi2Bi2
1.0
-0.7032 5.3527 -6.4091
-7.3291 -3.4778 -2.1004
-1.7628 2.3917 2.1909
Bi Ti Sr
4 4 2
Direct
0.8265 0.3265 0.5000
0.3265 0.1735 0.5000
0.1735 0.6735 0.5000
0.6735 0.8265 0.5000
0.8955 0.6045 0.0000
0.3955 0.8955 0.0000
0.1045 0.3955 0.0000
0.6045 0.1045 0.0000
0.5000 0.5000 0.0000
0.0000 0.0000 0.0000
```

Values from the calculation:
V	129.61	Å³/f.u.
density of states at the Fermi level	7.9	states/eV per cell
ΔE_f	-0.39	eV/f.u.
excess energy over the best structure of this formula in the dataset	234.6	meV per atom
space-group type	P4/mbm

---

# 10
A plane-wave DFT calculation with PBE-GGA was carried out for a geometry-optimized TlHg4Pb7 structure.

Geometry as POSCAR:
```
TlHg4Pb7
1.0
-2.0537 -4.8520 1.1424
1.3300 1.2370 -5.0760
12.9209 -4.9558 2.1773
Tl Pb Hg
1 7 4
Direct
0.0000 0.0000 0.5000
0.0000 0.0000 0.0000
0.0000 0.0000 0.7466
0.6667 0.3333 0.8484
0.3333 0.6667 0.4001
0.0000 0.0000 0.2534
0.3333 0.6667 0.1516
0.6667 0.3333 0.5999
0.6667 0.3333 0.0903
0.3333 0.6667 0.6620
0.3333 0.6667 0.9097
0.6667 0.3333 0.3380
```

Values from the calculation:
V	352.62	Å³/f.u.
density of states at the Fermi level	5.1	states/eV per cell
ΔE_f	0.26	eV/f.u.
excess energy over the best structure of this formula in the dataset	0.0	meV per atom
space-group type	P-3m1

---

# 11
A plane-wave DFT calculation with PBE-GGA was carried out for a geometry-optimized Rb4UPa3S12 structure.

Geometry as POSCAR:
```
Rb4UPa3S12
1.0
9.1177 0.0000 0.0000
-3.0392 8.5963 0.0000
-3.0392 -4.2981 7.4446
S Pa Rb U
12 3 4 1
Direct
0.5000 0.2500 0.7500
0.7507 0.7507 0.0000
0.0000 0.7507 0.7507
0.2493 0.0000 0.2493
0.2500 0.7500 0.5000
0.7500 0.2500 0.5000
0.5000 0.7500 0.2500
0.0000 0.2493 0.2493
0.7507 0.0000 0.7507
0.2500 0.5000 0.7500
0.2493 0.2493 0.0000
0.7500 0.5000 0.2500
0.5000 0.5000 0.0000
0.5000 0.0000 0.5000
0.0000 0.5000 0.5000
0.0000 0.0000 0.5000
0.5000 0.0000 0.0000
0.0000 0.5000 0.0000
0.5000 0.5000 0.5000
0.0000 0.0000 0.0000
```

Values from the calculation:
V	583.49	Å³/f.u.
formation energy from raw total energies	-146.54	kJ/mol of atoms
space-group type	Im-3m

---

# 12
A plane-wave DFT calculation with PBE-GGA was carried out for a geometry-optimized NdThRhBr structure.

Geometry as POSCAR:
```
NdThRhBr
1.0
4.1480 -0.0004 -0.0001
-2.0734 3.5921 0.0001
-2.0735 -1.1966 7.9646
Nd Rh Br Th
1 1 1 1
Direct
0.5063 0.1510 0.6725
0.3110 0.5533 0.8798
0.9676 0.3821 0.3645
0.0930 0.9443 0.0528
```

Values from the calculation:
V	118.67	Å³/f.u.
density of states at the Fermi level	3.1	states/eV per cell
formation energy from raw total energies	-96.73	kJ/mol of atoms
space-group type	R3m

---

# 13
A plane-wave DFT calculation with PBE-GGA was carried out for a geometry-optimized Na2Hg structure.

Geometry as POSCAR:
```
Na2Hg
1.0
-0.5305 -4.5016 -4.5095
-0.5288 -6.1496 1.6683
-5.5497 -3.0683 -0.8170
Na Hg
4 2
Direct
0.6250 0.6250 0.6250
0.1250 0.6250 0.6250
0.6250 0.6250 0.1250
0.6250 0.1250 0.6250
0.2500 0.2500 0.2500
0.0000 0.0000 0.0000
```

Values from the calculation:
V	92.41	Å³/f.u.
density of states at the Fermi level	4.6	states/eV per cell
ΔE_f	0.00	eV/f.u.
space-group type	Fd-3m

---

# 14
A plane-wave DFT calculation with PBE-GGA was carried out for a geometry-optimized CoCCl3 structure.

Geometry as POSCAR:
```
CoCCl3
1.0
-4.3848 0.2712 0.4980
-0.5296 -0.5721 -4.3520
-0.2025 -4.3757 0.5999
C Co Cl
1 1 3
Direct
0.0000 0.0000 0.0000
0.5000 0.5000 0.5000
0.5000 0.0000 0.0000
0.0000 0.0000 0.5000
0.0000 0.5000 0.0000
```

Values from the calculation:
V	86.43	Å³/f.u.
density of states at the Fermi level	8.6	states/eV per cell
formation energy from raw total energies	121.77	kJ/mol of atoms
excess energy over the best structure of this formula in the dataset	18.5	meV per atom
space-group type	Pm-3m

---

# 15
A plane-wave DFT calculation with PBE-GGA was carried out for a geometry-optimized CaICl3 structure.

Geometry as POSCAR:
```
CaICl3
1.0
5.4037 0.0000 0.0000
0.0000 5.4037 0.0000
0.0000 0.0000 5.4037
Cl Ca I
3 1 1
Direct
0.0000 0.5000 0.0000
0.5000 0.0000 0.0000
0.0000 0.0000 0.5000
0.0000 0.0000 0.0000
0.5000 0.5000 0.5000
```

Values from the calculation:
V	157.79	Å³/f.u.
density of states at the Fermi level	2.6	states/eV per cell
formation energy from raw total energies	-108.61	kJ/mol of atoms
excess energy over the best structure of this formula in the dataset	0.0	meV per atom
space-group type	Pm-3m

---

# 16
A plane-wave DFT calculation with PBE-GGA was carried out for a geometry-optimized Cd3As2O8 structure.

Geometry as POSCAR:
```
Cd3As2O8
1.0
-3.7923 4.2647 3.5668
-3.5209 -8.1096 3.4109
8.4994 0.0737 8.9486
O As Cd
32 8 12
Direct
0.9826 0.2649 0.0789
0.8324 0.9211 0.0659
0.6107 0.1177 0.9356
0.1676 0.0789 0.9341
0.8652 0.2925 0.3698
0.2527 0.5283 0.4603
0.3970 0.9252 0.7947
0.6030 0.0748 0.2053
0.6260 0.7833 0.2307
0.3406 0.4753 0.6798
0.6676 0.0789 0.5659
0.5174 0.7351 0.5789
0.6348 0.7075 0.8698
0.7473 0.4717 0.5397
0.2473 0.4717 0.9603
0.4826 0.2649 0.4211
0.7527 0.5283 0.0397
0.0174 0.7351 0.9211
0.1348 0.7075 0.6302
0.1030 0.0748 0.2947
0.3893 0.8823 0.0644
0.1260 0.7833 0.2693
0.8740 0.2167 0.7307
0.8970 0.9252 0.7053
0.1594 0.5247 0.1798
0.3652 0.2925 0.1302
0.1107 0.1177 0.5644
0.3324 0.9211 0.4341
0.6594 0.5247 0.3202
0.3740 0.2167 0.7693
0.8893 0.8823 0.4356
0.8406 0.4753 0.8202
0.3115 0.6054 0.5862
0.1885 0.3946 0.0862
0.6885 0.3946 0.4138
0.1098 0.9169 0.3633
0.6098 0.9169 0.1367
0.3902 0.0831 0.8633
0.8902 0.0831 0.6367
0.8115 0.6054 0.9138
0.3725 0.6418 0.3073
0.8332 0.7211 0.5754
0.6275 0.3582 0.6927
0.6539 0.0553 0.3837
0.8461 0.9447 0.8837
0.3332 0.7211 0.9246
0.8725 0.6418 0.1927
0.1275 0.3582 0.8073
0.1539 0.0553 0.1163
0.6668 0.2789 0.0754
0.1668 0.2789 0.4246
0.3461 0.9447 0.6163
```

Values from the calculation:
V	194.77	Å³/f.u.
formation energy from raw total energies	-119.31	kJ/mol of atoms
space-group type	P2_1/c

---

# 17
A plane-wave DFT calculation with PBE-GGA was carried out for a geometry-optimized Ti4MoPb structure.

Geometry as POSCAR:
```
Ti4MoPb
1.0
3.2220 0.0000 0.9319
1.8746 5.0898 -0.4455
-0.2255 -1.9372 6.8155
Ti Mo Pb
4 1 1
Direct
0.8616 0.4712 0.8057
0.1384 0.5288 0.1943
0.3079 0.0296 0.3547
0.6921 0.9704 0.6453
0.5000 0.5000 0.5000
0.0000 0.0000 0.0000
```

Values from the calculation:
V	106.67	Å³/f.u.
density of states at the Fermi level	5.0	states/eV per cell
ΔE_f	-0.47	eV/f.u.
excess energy over the best structure of this formula in the dataset	0.0	meV per atom
space-group type	C2/m

---

# 18
A plane-wave DFT calculation with PBE-GGA was carried out for a geometry-optimized NaAs2Pd5 structure.

Geometry as POSCAR:
```
NaAs2Pd5
1.0
3.9837 0.0000 0.0000
1.9919 6.0975 0.3055
1.9919 1.4206 5.9375
Pd Na As
5 1 2
Direct
0.3490 0.8446 0.4575
0.6510 0.1554 0.5425
0.6510 0.5425 0.1554
0.3490 0.4575 0.8446
0.0000 0.5000 0.5000
0.0000 0.0000 0.0000
0.2504 0.2496 0.2496
0.7496 0.7504 0.7504
```

Values from the calculation:
V	142.50	Å³/f.u.
density of states at the Fermi level	4.3	states/eV per cell
ΔE_f	-3.17	eV/f.u.
space-group type	Immm